[1]
Compound: RbIn2Cl
Source: Alexandria via LeMat-Bulk
Functional: PBE
Structure: relaxed

The structure in POSCAR format:
```
RbIn2Cl
1.0
0.0000 4.1549 4.1549
4.1549 0.0000 4.1549
4.1549 4.1549 0.0000
Rb In Cl
1 2 1
direct
0.0000 0.0000 0.0000
0.2500 0.2500 0.2500
0.7500 0.7500 0.7500
0.5000 0.5000 0.5000
```

Calculated values
* DOS at the Fermi energy: 5.398 states/eV per cell
* raw total energy: -2.161 eV per atom
* theoretical density: 4.1 g cm⁻³
* uncorrected formation energy: -8.5 kJ per mole of atoms
* energy above the most stable polymorph in this dataset: 0.551 eV/atom
* SG: Fm-3m

[2]
Compound: Sc2MnCd
Source: Alexandria via LeMat-Bulk
Functional: PBE
Structure: relaxed

The structure in POSCAR format:
```
Sc2MnCd
1.0
3.1509 0.0000 0.0000
0.0000 3.1509 0.0000
0.0000 0.0000 8.3109
Sc Mn Cd
2 1 1
direct
0.0000 0.0000 0.0000
0.5000 0.5000 0.3082
0.5000 0.5000 0.7888
0.0000 0.0000 0.5716
```

Calculated values
* DOS at the Fermi energy: 4.777 states/eV per cell
* raw total energy: -5.652 eV per atom
* theoretical density: 5.2 g cm⁻³
* energy of formation from the pure elements: 3.35 kJ/mol of atoms
* SG: P4mm

[3]
Compound: K4Pr3InTe8
Source: Alexandria via LeMat-Bulk
Functional: PBE
Structure: relaxed

The structure in POSCAR format:
```
K4Pr3InTe8
1.0
4.6047 2.6585 8.2846
-4.6047 2.6585 8.2846
0.0000 -5.3171 8.2846
K Pr In Te
4 3 1 8
direct
0.0000 0.0000 0.0000
0.0000 0.5000 0.5000
0.5000 0.0000 0.5000
0.5000 0.5000 0.0000
0.0000 0.0000 0.5000
0.0000 0.5000 0.0000
0.5000 0.0000 0.0000
0.5000 0.5000 0.5000
0.2390 0.2390 0.2390
0.2486 0.7311 0.7311
0.2689 0.2689 0.7514
0.2689 0.7514 0.2689
0.7311 0.2486 0.7311
0.7311 0.7311 0.2486
0.7514 0.2689 0.2689
0.7610 0.7610 0.7610
```

Calculated values
* DOS at the Fermi energy: 2.070 states/eV per cell
* raw total energy: -4.102 eV per atom
* theoretical density: 4.7 g cm⁻³
* uncorrected formation energy: -114.8 kJ per mole of atoms
* SG: R-3m

[4]
Compound: RbHfZr2
Source: Alexandria via LeMat-Bulk
Functional: PBE
Structure: relaxed

The structure in POSCAR format:
```
RbHfZr2
1.0
-2.2622 2.2622 10.7874
2.2622 -2.2622 10.7874
2.2622 2.2622 -10.7874
Rb Hf Zr
2 2 4
direct
0.0000 0.0000 0.0000
0.7500 0.2500 0.5000
0.2500 0.7500 0.5000
0.5000 0.5000 0.0000
0.1515 0.1250 0.5265
0.3750 0.8485 0.9735
0.5985 0.6250 0.4735
0.8750 0.4015 0.0265
```

Calculated values
* DOS at the Fermi energy: 14.557 states/eV per cell
* raw total energy: -5.603 eV per atom
* theoretical density: 6.7 g cm⁻³
* energy above the most stable polymorph in this dataset: 0.225 eV/atom
* energy of formation from the pure elements: 135.21 kJ/mol of atoms
* SG: I-42d

[5]
Compound: K2AgCl5
Source: Alexandria via LeMat-Bulk
Functional: PBE
Structure: relaxed

The structure in POSCAR format:
```
K2AgCl5
1.0
-3.7226 3.7226 4.2631
3.7226 -3.7226 4.2631
3.7226 3.7226 -4.2631
K Ag Cl
2 1 5
direct
0.0000 0.5000 0.5000
0.5000 0.0000 0.5000
0.2716 0.2716 0.0000
0.0179 0.0179 0.5469
0.0179 0.4709 0.0000
0.4709 0.0179 0.0000
0.4709 0.4709 0.4531
0.6043 0.6043 0.0000
```

Calculated values
* raw total energy: -2.880 eV per atom
* theoretical density: 2.6 g cm⁻³
* uncorrected formation energy: -105.7 kJ per mole of atoms
* energy above the most stable polymorph in this dataset: 0.000 eV/atom
* SG: I4mm

[6]
Compound: Ce2PmYSe5
Source: Alexandria via LeMat-Bulk
Functional: PBE
Structure: relaxed

The structure in POSCAR format:
```
Ce2PmYSe5
1.0
5.1299 0.0000 0.0000
0.0000 5.1299 0.0000
0.0000 0.0000 10.9518
Ce Pm Y Se
2 1 1 5
direct
0.0000 0.0000 0.1915
0.0000 0.0000 0.8085
0.5000 0.5000 0.5000
0.5000 0.5000 0.0000
0.0000 0.0000 0.5000
0.0000 0.5000 0.0000
0.5000 0.0000 0.0000
0.5000 0.5000 0.2520
0.5000 0.5000 0.7480
```

Calculated values
* DOS at the Fermi energy: 19.262 states/eV per cell
* raw total energy: -5.808 eV per atom
* theoretical density: 5.2 g cm⁻³
* uncorrected formation energy: -126.1 kJ per mole of atoms
* SG: P4/mmm

[7]
Compound: ZrFe2Ni
Source: Alexandria via LeMat-Bulk
Functional: PBE
Structure: relaxed

The structure in POSCAR format:
```
ZrFe2Ni
1.0
-1.8898 1.8898 3.8804
1.8898 -1.8898 3.8804
1.8898 1.8898 -3.8804
Zr Fe Ni
1 2 1
direct
0.0000 0.0000 0.0000
0.2500 0.7500 0.5000
0.5000 0.5000 0.0000
0.7500 0.2500 0.5000
```

Calculated values
* DOS at the Fermi energy: 3.912 states/eV per cell
* raw total energy: -7.885 eV per atom
* theoretical density: 7.8 g cm⁻³
* energy of formation from the pure elements: -6.89 kJ/mol of atoms
* SG: I-4m2

[8]
Compound: Cs3CaTe2O9
Source: Alexandria via LeMat-Bulk
Functional: PBE
Structure: relaxed

The structure in POSCAR format:
```
Cs3CaTe2O9
1.0
6.1318 0.0000 0.0000
-3.0659 5.3103 0.0000
0.0000 0.0000 7.5579
Cs Ca Te O
3 1 2 9
direct
0.0000 0.0000 0.0000
0.3333 0.6667 0.6609
0.6667 0.3333 0.3391
0.0000 0.0000 0.5000
0.3333 0.6667 0.1662
0.6667 0.3333 0.8338
0.0000 0.5000 0.0000
0.1827 0.3654 0.3037
0.1827 0.8173 0.3037
0.3654 0.1827 0.6963
0.5000 0.0000 0.0000
0.5000 0.5000 0.0000
0.6346 0.8173 0.3037
0.8173 0.1827 0.6963
0.8173 0.6346 0.6963
```

Calculated values
* DOS at the Fermi energy: 10.889 states/eV per cell
* raw total energy: -5.012 eV per atom
* theoretical density: 5.7 g cm⁻³
* uncorrected formation energy: -126.8 kJ per mole of atoms
* SG: P-3m1

[9]
Compound: TaFe2Te
Source: Alexandria via LeMat-Bulk
Functional: PBE
Structure: relaxed

The structure in POSCAR format:
```
TaFe2Te
1.0
3.0533 0.0000 0.0000
0.0000 4.1951 0.0000
-0.7335 0.0000 5.0185
Ta Fe Te
1 2 1
direct
0.0000 0.0000 0.0000
0.2752 0.5000 0.7578
0.5834 0.0000 0.5525
0.5695 0.5000 0.2763
```

Calculated values
* DOS at the Fermi energy: 3.141 states/eV per cell
* raw total energy: -7.636 eV per atom
* theoretical density: 10.9 g cm⁻³
* uncorrected formation energy: 33.2 kJ per mole of atoms
* SG: Pm

[10]
Compound: CaAgAs
Source: Alexandria via LeMat-Bulk
Functional: PBE
Structure: relaxed

The structure in POSCAR format:
```
CaAgAs
1.0
4.4349 0.0000 0.0000
0.0000 4.1586 0.0000
0.0000 0.0000 7.6723
Ca Ag As
2 2 2
direct
0.0000 0.0009 0.0000
0.5000 0.9991 0.5000
0.0000 0.5004 0.6675
0.5000 0.4996 0.1675
0.0000 0.4487 0.3343
0.5000 0.5513 0.8343
```

Calculated values
* DOS at the Fermi energy: 0.234 states/eV per cell
* raw total energy: -3.840 eV per atom
* theoretical density: 5.2 g cm⁻³
* energy of formation from the pure elements: -64.94 kJ/mol of atoms
* SG: Pmn2_1

[11]
Compound: Er12H5Ru3
Source: Alexandria via LeMat-Bulk
Functional: PBE
Structure: relaxed

The structure in POSCAR format:
```
Er12H5Ru3
1.0
-7.4506 7.4506 7.4506
7.4506 -7.4506 7.4506
7.4506 7.4506 -7.4506
Er H Ru
48 20 12
direct
0.0284 0.2172 0.1230
0.0284 0.3112 0.9054
0.0942 0.7172 0.6888
0.0942 0.8770 0.4054
0.0946 0.6230 0.4058
0.0946 0.9716 0.6888
0.1230 0.0284 0.2172
0.1230 0.5946 0.9058
0.1888 0.2172 0.5942
0.1888 0.4716 0.5946
0.2172 0.1230 0.0284
0.2172 0.5942 0.1888
0.2828 0.3112 0.9058
0.2828 0.4716 0.3770
0.3112 0.9054 0.0284
0.3112 0.9058 0.2828
0.3770 0.2828 0.4716
0.3770 0.5942 0.9054
0.4054 0.0942 0.8770
0.4054 0.8112 0.5284
0.4058 0.0946 0.6230
0.4058 0.8112 0.7828
0.4716 0.3770 0.2828
0.4716 0.5946 0.1888
0.5284 0.4054 0.8112
0.5284 0.6230 0.7172
0.5942 0.1888 0.2172
0.5942 0.9054 0.3770
0.5946 0.1888 0.4716
0.5946 0.9058 0.1230
0.6230 0.4058 0.0946
0.6230 0.7172 0.5284
0.6888 0.0942 0.7172
0.6888 0.0946 0.9716
0.7172 0.5284 0.6230
0.7172 0.6888 0.0942
0.7828 0.4058 0.8112
0.7828 0.8770 0.9716
0.8112 0.5284 0.4054
0.8112 0.7828 0.4058
0.8770 0.4054 0.0942
0.8770 0.9716 0.7828
0.9054 0.0284 0.3112
0.9054 0.3770 0.5942
0.9058 0.1230 0.5946
0.9058 0.2828 0.3112
0.9716 0.6888 0.0946
0.9716 0.7828 0.8770
0.0000 0.0000 0.0000
0.0000 0.0000 0.5000
0.0000 0.5000 0.0000
0.0000 0.5000 0.5000
0.1250 0.7500 0.8750
0.1250 0.8750 0.2500
0.2500 0.1250 0.8750
0.2500 0.6250 0.3750
0.3750 0.2500 0.6250
0.3750 0.6250 0.7500
0.5000 0.0000 0.0000
0.5000 0.0000 0.5000
0.5000 0.5000 0.0000
0.5000 0.5000 0.5000
0.6250 0.3750 0.2500
0.6250 0.7500 0.3750
0.7500 0.3750 0.6250
0.7500 0.8750 0.1250
0.8750 0.1250 0.7500
0.8750 0.2500 0.1250
0.1250 0.2500 0.3750
0.1250 0.3750 0.7500
0.2500 0.3750 0.1250
0.2500 0.8750 0.6250
0.3750 0.1250 0.2500
0.3750 0.7500 0.1250
0.6250 0.2500 0.8750
0.6250 0.8750 0.7500
0.7500 0.1250 0.3750
0.7500 0.6250 0.8750
0.8750 0.6250 0.2500
0.8750 0.7500 0.6250
```

Calculated values
* DOS at the Fermi energy: 54.839 states/eV per cell
* raw total energy: -5.307 eV per atom
* theoretical density: 9.3 g cm⁻³
* SG: Ia-3d

[12]
Compound: DyZrGaAu
Source: Alexandria via LeMat-Bulk
Functional: PBE
Structure: relaxed

The structure in POSCAR format:
```
DyZrGaAu
1.0
0.0000 3.5072 3.5072
3.5072 0.0000 3.5072
3.5072 3.5072 0.0000
Dy Zr Ga Au
1 1 1 1
direct
0.0000 0.0000 0.0000
0.5000 0.5000 0.5000
0.7500 0.7500 0.7500
0.2500 0.2500 0.2500
```

Calculated values
* DOS at the Fermi energy: 2.228 states/eV per cell
* raw total energy: -5.377 eV per atom
* theoretical density: 10.0 g cm⁻³
* energy of formation from the pure elements: -49.56 kJ/mol of atoms
* SG: F-43m